Record 1
DFT (GGA-PBEsol) results for a geometry-optimized Sm2EuS4 structure.

## Properties
- crystal system = tetragonal
- E_form (uncorrected) (meV/atom) = -2182.9
- magnetization (μB/f.u.) = 7.0
- total energy (eV per atom) = -7.652

extended XYZ file:
```
14
Lattice="-4.2040 4.2040 4.1887 4.2040 -4.2040 4.1887 4.2040 4.2040 -4.1887" Properties=species:S:1:pos:R:3 pbc="T T T"
Sm 2.1020 1.0682 -1.0472
Sm 3.1359 -2.1020 5.2359
Sm 2.1020 3.1359 3.1416
Sm 1.0682 6.3061 1.0472
Eu 4.2040 0.0000 2.0944
Eu 0.0000 0.0000 4.1887
S 4.8490 1.4533 -0.4488
S 2.7507 3.5591 -2.5431
S 1.4533 0.6449 1.6456
S 1.4533 3.5591 0.4488
S 2.7507 0.6449 4.6375
S 4.8490 2.7507 2.5431
S -0.6449 2.7507 3.7400
S -0.6449 1.4533 6.7319
```


Record 2
DFT (GGA-PBEsol) results for a geometry-optimized MgMo2PdBr structure.

## Properties
- crystal system = tetragonal
- E_form (uncorrected) (meV/atom) = 1389.4
- magnetization (μB/f.u.) = 5.6
- total energy (eV per atom) = -5.227

extended XYZ file:
```
5
Lattice="4.8653 0.0000 0.0000 0.0000 4.8653 0.0000 0.0000 0.0000 4.9995" Properties=species:S:1:pos:R:3 pbc="T T T"
Mg 0.0000 0.0000 0.0000
Mo 0.0000 2.4327 2.4997
Mo 2.4327 0.0000 2.4997
Pd 0.0000 0.0000 2.4997
Br 2.4327 2.4327 0.0000
```


Record 3
DFT (GGA-PBEsol) results for a geometry-optimized AsRhPb2 structure.

## Properties
- crystal system = orthorhombic
- magnetization (μB/f.u.) = 0.0
- total energy (eV per atom) = -5.323
- ΔH_f (0 K) (eV per atom) = -0.013

extended XYZ file:
```
4
Lattice="-1.7093 1.8566 7.2971 1.7093 -1.8566 7.2971 1.7093 1.8566 -7.2971" Properties=species:S:1:pos:R:3 pbc="T T T"
As 0.0000 0.0000 0.0000
Rh 0.0000 0.0000 7.2971
Pb 1.7093 0.0000 4.8968
Pb 0.0000 1.8566 2.4004
```


What did the third record say?
DFT (GGA-PBEsol) results for a geometry-optimized AsRhPb2 structure.

## Properties
- crystal system = orthorhombic
- magnetization (μB/f.u.) = 0.0
- total energy (eV per atom) = -5.323
- ΔH_f (0 K) (eV per atom) = -0.013

extended XYZ file:
```
4
Lattice="-1.7093 1.8566 7.2971 1.7093 -1.8566 7.2971 1.7093 1.8566 -7.2971" Properties=species:S:1:pos:R:3 pbc="T T T"
As 0.0000 0.0000 0.0000
Rh 0.0000 0.0000 7.2971
Pb 1.7093 0.0000 4.8968
Pb 0.0000 1.8566 2.4004
```


Look up the magnetization of the second one.
5.6 μB/f.u.


Which of these has the highest total energy?
MgMo2PdBr